No. 1
3
Lattice="-4.463 1.019 -1.096 -3.367 -0.355 3.271 -2.020 3.885 1.729" Properties=species:S:1:pos:R:3 comment="LaCuPt | Alexandria | PBE | optimized geometry" sg="F-43m (216)" formation_energy_mev_per_atom=-567.9 e_above_lowest_polymorph_mev_per_atom=209 dft_energy_ha_per_atom=-0.2054 pbc="T T T"
Cu 0.000 0.000 0.000
La -4.925 2.275 1.952
Pt -7.388 3.412 2.929

---

No. 2
4
Lattice="4.949 0.000 0.000 2.474 4.286 0.000 2.474 1.429 4.041" Properties=species:S:1:pos:R:3 comment="La2CuPt | Alexandria | PBE | optimized geometry" sg="F-43m (216)" formation_energy_mev_per_atom=-503.7 dft_energy_ha_per_atom=-0.2022 pbc="T T T"
Cu 4.949 2.857 2.020
La 0.000 0.000 0.000
La 2.474 1.429 1.010
Pt 7.423 4.286 3.030

---

No. 3
6
Lattice="3.846 0.000 0.000 0.000 4.297 0.000 0.001 0.000 8.026" Properties=species:S:1:pos:R:3 comment="LaCuPt | Alexandria | PBE | optimized geometry" sg="Pmma (51)" formation_energy_mev_per_atom=-719.7 e_above_lowest_polymorph_mev_per_atom=57 dft_energy_ha_per_atom=-0.2110 pbc="T T T"
La 1.198 3.077 1.057
La 1.199 0.929 5.306
Cu 3.122 0.930 2.609
Cu 3.122 3.078 3.755
Pt 3.121 0.929 0.065
Pt 3.122 3.077 6.299

---

No. 4
16
Lattice="-0.899 1.068 4.014 3.915 -4.303 -0.228 11.806 10.751 -0.216" Properties=species:S:1:pos:R:3 comment="La3Cu3Pt2 | Alexandria | PBE | optimized geometry" sg="Cmcm (63)" formation_energy_mev_per_atom=-651.6 dft_energy_ha_per_atom=-0.2038 pbc="T T T"
La 7.010 2.149 3.248
La 11.646 8.858 0.252
La 3.176 -1.342 3.318
La 7.812 5.367 0.322
La 3.264 2.393 2.344
La 11.558 5.123 1.226
Cu 5.432 4.736 2.206
Cu 14.095 7.064 1.277
Cu 0.727 0.452 2.292
Cu 9.390 2.780 1.363
Cu 5.196 0.246 1.098
Cu 9.625 7.270 2.471
Pt 12.198 7.596 2.961
Pt 5.751 2.768 0.552
Pt 9.071 4.748 3.018
Pt 2.624 -0.080 0.609

---

No. 5
12
Lattice="5.279 0.000 1.678 2.373 4.715 1.678 0.026 0.016 9.060" Properties=species:S:1:pos:R:3 comment="LaCuPt2 | Alexandria | PBE | optimized geometry" sg="R-3m (166)" formation_energy_mev_per_atom=-831.2 dft_energy_ha_per_atom=-0.2244 pbc="T T T"
La 6.596 4.065 6.676
La 1.081 0.666 5.741
La 0.000 0.000 0.000
Cu 5.129 3.161 11.290
Cu 2.548 1.570 1.126
Cu 3.838 2.366 6.208
Pt 3.199 1.972 3.639
Pt 5.844 1.972 4.479
Pt 4.388 4.334 4.479
Pt 4.477 2.759 8.778
Pt 3.289 0.397 7.937
Pt 1.833 2.759 7.937

---

No. 6
4
Lattice="5.543 0.000 0.000 1.962 5.184 0.000 -3.752 -2.592 3.151" Properties=species:S:1:pos:R:3 comment="La2CuPt | Alexandria | PBE | optimized geometry" sg="I-4m2 (119)" formation_energy_mev_per_atom=-448.1 dft_energy_ha_per_atom=-0.2001 pbc="T T T"
Cu 2.772 0.000 1.575
La 0.000 0.000 0.000
La 0.981 2.592 1.575
Pt 3.752 2.592 0.000

---

No. 7
6
Lattice="-1.588 -4.356 4.160 -1.144 1.607 5.909 -5.817 -0.217 2.216" Properties=species:S:1:pos:R:3 comment="La4CuPt | Alexandria | PBE | optimized geometry" sg="F-43m (216)" formation_energy_mev_per_atom=475.3 e_above_lowest_polymorph_mev_per_atom=785 dft_energy_ha_per_atom=-0.1653 pbc="T T T"
La -4.002 -3.277 6.683
La -6.101 -1.222 5.718
La -3.781 -0.317 7.551
La -3.214 -1.115 4.618
Cu 0.000 0.000 0.000
Pt -6.412 -2.224 9.214

---

No. 8
19
Lattice="-3.220 3.221 -4.766 2.727 -3.225 -5.061 -4.830 -4.421 -0.764" Properties=species:S:1:pos:R:3 comment="La2Cu15Pt2 | Alexandria | PBE | optimized geometry" sg="R-3m (166)" formation_energy_mev_per_atom=-188.9 dft_energy_ha_per_atom=-0.1682 pbc="T T T"
La -1.802 -1.498 -3.586
La -3.520 -2.927 -7.006
Cu -1.610 1.610 -2.383
Cu -2.415 -2.211 -0.382
Cu 1.364 -1.613 -2.531
Cu 0.537 -3.572 -3.816
Cu -1.496 1.353 -4.852
Cu -4.363 -2.207 -1.924
Cu 1.004 -1.357 -4.976
Cu -3.686 1.006 -3.606
Cu -2.640 -4.074 -2.010
Cu -1.871 -4.498 -4.543
Cu -1.068 -0.686 -6.539
Cu -4.838 -1.282 -4.395
Cu -3.451 0.073 -6.049
Cu -4.254 -3.740 -4.053
Cu -0.484 -3.143 -6.197
Pt -0.570 -0.474 -1.135
Pt -4.752 -3.951 -9.457